CdFeRu2 | PBE | optimized geometry

## Properties
As for the formation energy: 1.6 eV/f.u. Its mass density is 10.4 g cm⁻³.

Lattice parameters (Å, degrees): 3.880 3.880 7.888 90.00 90.00 90.00
Fractional coordinates of all 8 atoms:
1 Cd 0.000 0.000 0.000
2 Cd 0.500 0.500 0.500
3 Fe 0.000 0.500 0.750
4 Fe 0.500 0.000 0.250
5 Ru 0.000 0.000 0.500
6 Ru 0.000 0.500 0.250
7 Ru 0.500 0.000 0.750
8 Ru 0.500 0.500 0.000